[1]
The following is a PBE-GGA calculation of an optimized crystal structure of GdHoTmPa, from Alexandria.

Properties
Theoretical density   10.0 g cm⁻³
Total magnetization   41.95 μB/cell
Energy relative to the elements   0.338 eV per atom

Cell lengths 7.8330, 7.8330, 7.8330 Å; angles 90.00, 90.00, 90.00 degrees
Last column: nearest neighbours and their distance in Å.
Space group F-43m (No. 216)
Symmetry-distinct sites (fractional):
Gd 0.0000 0.0000 0.0000 (multiplicity 4)  4 Pa 3.39, 4 Tm 3.39
Ho 0.0000 0.0000 0.5000 (multiplicity 4)  4 Pa 3.39, 4 Tm 3.39
Tm 0.2500 0.2500 0.7500 (multiplicity 4)  4 Gd 3.39, 4 Ho 3.39
Pa 0.2500 0.2500 0.2500 (multiplicity 4)  4 Gd 3.39, 4 Ho 3.39

=====

[2]
The following is a PBE-GGA calculation of an optimized crystal structure of GdHoPb, from Alexandria.

Properties
Theoretical density   9.7 g cm⁻³
Distance to the lowest polymorph of the same formula   101 meV/atom
Total magnetization   7.71 μB/cell
Energy relative to the elements   -0.216 eV per atom

Cell lengths 5.3111, 5.3111, 3.7186 Å; angles 90.00, 90.00, 120.00 degrees
Last column: nearest neighbours and their distance in Å.
Space group P3m1 (No. 156)
Symmetry-distinct sites (fractional):
Gd 0.0000 0.0000 0.0000 (multiplicity 1)  3 Pb 3.28, 6 Ho 3.51-3.66
Ho 0.6667 0.3333 0.4603 (multiplicity 1)  3 Pb 3.18, 3 Gd 3.51
Pb 0.3333 0.6667 0.6898 (multiplicity 1)  3 Ho 3.18, 3 Gd 3.28

=====

[3]
The following is a PBE-GGA calculation of an optimized crystal structure of Gd2HoPb, from Alexandria.

Properties
Theoretical density   9.8 g cm⁻³
Distance to the lowest polymorph of the same formula   0 meV/atom
Total magnetization   15.61 μB/cell
Energy relative to the elements   -0.313 eV per atom

Cell lengths 4.8673, 4.8673, 4.9284 Å; angles 90.00, 90.00, 90.00 degrees
Last column: nearest neighbours and their distance in Å.
Space group P4/mmm (No. 123)
Symmetry-distinct sites (fractional):
Gd 0.0000 0.5000 0.0000 (multiplicity 2)  4 Gd 3.44, 4 Pb 3.46, 4 Ho 3.46
Ho 0.0000 0.0000 0.5000 (multiplicity 1)  4 Pb 3.44, 8 Gd 3.46
Pb 0.5000 0.5000 0.5000 (multiplicity 1)  4 Ho 3.44, 8 Gd 3.46

=====

[4]
The following is a PBE-GGA calculation of an optimized crystal structure of GdHoPb, from Alexandria.

Properties
Theoretical density   10.0 g cm⁻³
Distance to the lowest polymorph of the same formula   0 meV/atom
Total magnetization   17.50 μB/cell
Energy relative to the elements   -0.317 eV per atom

Cell lengths 4.0618, 4.0618, 10.6197 Å; angles 90.00, 90.00, 90.00 degrees
Last column: nearest neighbours and their distance in Å.
Space group I4mm (No. 107)
Symmetry-distinct sites (fractional):
Gd 0.0000 0.0000 0.0000 (multiplicity 2)  5 Pb 3.35-3.59, 5 Ho 3.35-3.48
Ho 0.0000 0.0000 0.3152 (multiplicity 2)  5 Pb 3.30-3.68, 5 Gd 3.35-3.48
Pb 0.0000 0.0000 0.6616 (multiplicity 2)  5 Ho 3.30-3.68, 5 Gd 3.35-3.59